No. 1
A crystal of AsIr relaxed with PBEsol, computed with meta-GGA SCAN.

The value obtained for the magnetic moment is 0.000 μB per atom. For the formation energy from the elements, the calculation gives 0.15 eV/atom.

It has space group P4/nmm (No. 129, origin choice 2), with a = 4.005 Å, b = 4.005 Å, c = 3.950 Å, α = 90.00°, β = 90.00° and γ = 90.00°. The distinct sites, in fractional coordinates, are As at (0.250, 0.750, 0.000) and Ir at (0.250, 0.250, 0.374).

=====

No. 2
A crystal of As3Ir relaxed with PBEsol, computed with meta-GGA SCAN.

The value obtained for the magnetic moment is 0.000 μB per atom. For the formation energy from the elements, the calculation gives -0.56 eV/atom. The calculation puts the offset from the most stable computed form at 0.000 kcal/mol of atoms.

It has space group Im-3 (No. 204), with a = 8.493 Å, b = 8.493 Å, c = 8.493 Å, α = 90.00°, β = 90.00° and γ = 90.00°. The distinct sites, in fractional coordinates, are As at (0.000, 0.146, 0.348) and Ir at (0.250, 0.250, 0.250).

=====

No. 3
A crystal of As3Ir relaxed with PBEsol, computed with meta-GGA SCAN.

The value obtained for the magnetic moment is 0.000 μB per atom. For the formation energy from the elements, the calculation gives -0.03 eV/atom. The calculation puts the offset from the most stable computed form at 12.246 kcal/mol of atoms.

It has space group Pmmn (No. 59, origin choice 2), with a = 3.748 Å, b = 7.857 Å, c = 5.060 Å, α = 90.00°, β = 90.00° and γ = 90.00°. The distinct sites, in fractional coordinates, are As at (0.250, 0.073, 0.209), As at (0.250, 0.250, 0.651) and Ir at (0.250, 0.750, 0.036).

=====

No. 4
A crystal of As3Ir relaxed with PBEsol, computed with meta-GGA SCAN.

The value obtained for the magnetic moment is 0.000 μB per atom. For the formation energy from the elements, the calculation gives 0.44 eV/atom. The calculation puts the offset from the most stable computed form at 23.021 kcal/mol of atoms.

It has space group Cmmm (No. 65), with a = 5.732 Å, b = 7.245 Å, c = 3.165 Å, α = 90.00°, β = 90.00° and γ = 90.00°. The distinct sites, in fractional coordinates, are As at (0.000, 0.000, 0.000), As at (0.250, 0.250, 0.500) and Ir at (0.000, 0.500, 0.000).

=====

No. 5
A crystal of AsIr relaxed with PBEsol, computed with meta-GGA SCAN.

The value obtained for the magnetic moment is 0.000 μB per atom. For the formation energy from the elements, the calculation gives 0.07 eV/atom.

It has space group C2/m (No. 12), with a = 8.131 Å, b = 3.500 Å, c = 4.580 Å, α = 90.00°, β = 106.71° and γ = 90.00°. The distinct sites, in fractional coordinates, are As at (0.113, 0.000, 0.303) and Ir at (0.112, 0.500, 0.814).

=====

No. 6
A crystal of AsIr relaxed with PBEsol, computed with meta-GGA SCAN.

The value obtained for the magnetic moment is 0.000 μB per atom. For the formation energy from the elements, the calculation gives -0.05 eV/atom.

It has space group P2_13 (No. 198), with a = 4.978 Å, b = 4.978 Å, c = 4.978 Å, α = 90.00°, β = 90.00° and γ = 90.00°. The distinct sites, in fractional coordinates, are As at (0.065, 0.435, 0.565) and Ir at (0.060, 0.940, 0.440).

=====

> Which of these has the lowest formation energy from the elements?

number 2